TaRh2F: relaxed, GGA-PBE.

Computed properties:
**Density of states at the Fermi level**: 1.613 states/eV per cell
**Energy above the lowest structure with this stoichiometry**: 0.053 eV/atom
**SG**: I-42d, No. 122
**V**: 59.4 Å³/f.u.
**ΔE_f (raw)**: -0.3022 eV/atom

a = 6.6865 Å, b = 6.6865 Å, c = 5.4245 Å
α = 51.95°, β = 51.95°, γ = 90.00°
With the nearest neighbours (Å) after each atom.
Element x y z (fractional)
Rh1 0.6058 0.1250 0.2500  2 F 2.37, 2 Ta 2.54
Rh2 0.8750 0.8558 0.7500  2 F 2.37, 2 Ta 2.54
Rh3 0.1442 0.6250 0.2500  2 F 2.37, 2 Ta 2.54
Rh4 0.3750 0.3942 0.7500  2 F 2.37, 2 Ta 2.54
Ta1 0.0000 0.0000 0.0000  4 Rh 2.54, 2 F 2.66
Ta2 0.7500 0.2500 0.5000  4 Rh 2.54, 2 F 2.66
F1 0.5000 0.5000 0.0000  4 Rh 2.37
F2 0.2500 0.7500 0.5000  4 Rh 2.37

---

Ta2RhF: relaxed, GGA-PBE.

Computed properties:
**Density of states at the Fermi level**: 4.013 states/eV per cell
**Energy above the lowest structure with this stoichiometry**: 0.000 eV/atom
**SG**: I-42d, No. 122
**V**: 61.9 Å³/f.u.
**ΔE_f (raw)**: -0.4244 eV/atom

a = 6.3821 Å, b = 6.3821 Å, c = 5.4408 Å
α = 54.09°, β = 54.09°, γ = 90.00°
With the nearest neighbours (Å) after each atom.
Element x y z (fractional)
Ta1 0.8750 0.8307 0.7500  2 F 2.20
Ta2 0.5807 0.1250 0.2500  2 F 2.20
Ta3 0.1693 0.6250 0.2500  2 F 2.20
Ta4 0.3750 0.4193 0.7500  2 F 2.20
Rh1 0.0000 0.0000 0.0000  4 Ta 2.58
Rh2 0.7500 0.2500 0.5000  4 Ta 2.58
F1 0.5000 0.5000 0.0000  4 Ta 2.20
F2 0.2500 0.7500 0.5000  4 Ta 2.20

---

TaRhF2: relaxed, GGA-PBE.

Computed properties:
**Density of states at the Fermi level**: 4.392 states/eV per cell
**Energy above the lowest structure with this stoichiometry**: 0.000 eV/atom
**SG**: R-3m, No. 166
**V**: 67.3 Å³/f.u.
**ΔE_f (raw)**: -1.0431 eV/atom

a = 10.3691 Å, b = 10.3691 Å, c = 10.3691 Å
α = 15.26°, β = 15.26°, γ = 15.26°
With the nearest neighbours (Å) after each atom.
Element x y z (fractional)
F1 0.8836 0.8836 0.8836  3 Ta 2.22
F2 0.1164 0.1164 0.1164  3 Ta 2.22
Ta1 0.5000 0.5000 0.5000  6 F 2.22
Rh1 0.0000 0.0000 0.0000  6 Rh 2.75

---

Ta3RhF: relaxed, GGA-PBE.

Computed properties:
**Density of states at the Fermi level**: 4.651 states/eV per cell
**Energy above the lowest structure with this stoichiometry**: 0.985 eV/atom
**SG**: Pm-3m, No. 221
**V**: 112.9 Å³/f.u.
**ΔE_f (raw)**: 1.1105 eV/atom

a = 4.8329 Å, b = 4.8329 Å, c = 4.8329 Å
α = 90.00°, β = 90.00°, γ = 90.00°
With the nearest neighbours (Å) after each atom.
Element x y z (fractional)
Ta1 0.0000 0.5000 0.0000  2 Rh 2.42
Ta2 0.0000 0.0000 0.5000  2 Rh 2.42
Ta3 0.5000 0.0000 0.0000  2 Rh 2.42
Rh1 0.0000 0.0000 0.0000  6 Ta 2.42
F1 0.5000 0.5000 0.5000  12 Ta 3.42

---

- What is the V in the third record?
  67.3 Å³/f.u.